Compound: SmAlCu11
Source: Alexandria
Functional: PBE
Structure: optimized geometry

Geometry as extended XYZ:
```
13
Lattice="2.4305 -5.9774 0.0000 2.4305 5.9774 0.0000 -2.3840 0.0000 6.1513" Properties=species:S:1:pos:R:3 pbc="T T T"
Sm 0.0000 0.0000 0.0000
Al 1.2386 0.0000 3.0757
Cu -1.1920 0.0000 3.0757
Cu 1.2153 2.9887 0.0000
Cu 0.0577 3.8387 3.9787
Cu 0.0469 1.3458 4.7782
Cu 2.4194 3.8387 2.1726
Cu 2.4302 1.3458 1.3731
Cu 1.2153 -2.9887 0.0000
Cu 0.0469 -1.3458 4.7782
Cu 0.0577 -3.8387 3.9787
Cu 2.4302 -1.3458 1.3731
Cu 2.4194 -3.8387 2.1726
```

Output
DFT formation energy ... -0.13 eV per atom
Size of the total moment ... 0.0 μB/f.u.

Compound: SmAl2Cu6
Source: Alexandria
Functional: PBE
Structure: optimized geometry

Geometry as extended XYZ:
```
9
Lattice="-1.7252 3.3926 6.1024 1.7252 -3.3926 6.1024 1.7252 3.3926 -6.1024" Properties=species:S:1:pos:R:3 pbc="T T T"
Sm 0.0000 0.0000 0.0000
Al 1.7252 0.0000 4.4411
Al 0.0000 3.3926 1.6613
Cu 1.7252 1.2966 -2.2420
Cu 1.7252 2.2477 0.0000
Cu 1.7252 1.2966 2.2420
Cu 0.0000 2.0959 3.8604
Cu 0.0000 1.1448 6.1024
Cu 0.0000 2.0959 8.3444
```

Output
DFT formation energy ... -0.07 eV per atom
Size of the total moment ... 0.0 μB/f.u.

Compound: Sm2Al2Cu
Source: Alexandria
Functional: PBE
Structure: optimized geometry

Geometry as extended XYZ:
```
10
Lattice="5.2670 -2.2723 0.0000 5.2670 2.2723 0.0000 -5.1829 0.0000 9.5237" Properties=species:S:1:pos:R:3 pbc="T T T"
Sm -1.1490 0.0000 3.7455
Sm -0.9195 0.0000 7.8886
Sm 6.2706 0.0000 1.6351
Sm 6.5001 0.0000 5.7783
Al -3.9294 0.0000 8.9825
Al 1.9747 0.0000 3.6212
Al 3.3764 0.0000 5.9025
Al 9.2805 0.0000 0.5413
Cu 3.1812 0.0000 1.3905
Cu 2.1699 0.0000 8.1332
```

Output
DFT formation energy ... -0.37 eV per atom
Size of the total moment ... 0.0 μB/f.u.

Q: Which of these has the highest DFT formation energy?
A: SmAl2Cu6

Repeat the second record exactly.
Compound: SmAl2Cu6
Source: Alexandria
Functional: PBE
Structure: optimized geometry

Geometry as extended XYZ:
```
9
Lattice="-1.7252 3.3926 6.1024 1.7252 -3.3926 6.1024 1.7252 3.3926 -6.1024" Properties=species:S:1:pos:R:3 pbc="T T T"
Sm 0.0000 0.0000 0.0000
Al 1.7252 0.0000 4.4411
Al 0.0000 3.3926 1.6613
Cu 1.7252 1.2966 -2.2420
Cu 1.7252 2.2477 0.0000
Cu 1.7252 1.2966 2.2420
Cu 0.0000 2.0959 3.8604
Cu 0.0000 1.1448 6.1024
Cu 0.0000 2.0959 8.3444
```

Output
DFT formation energy ... -0.07 eV per atom
Size of the total moment ... 0.0 μB/f.u.

Repeat the first record exactly.
Compound: SmAlCu11
Source: Alexandria
Functional: PBE
Structure: optimized geometry

Geometry as extended XYZ:
```
13
Lattice="2.4305 -5.9774 0.0000 2.4305 5.9774 0.0000 -2.3840 0.0000 6.1513" Properties=species:S:1:pos:R:3 pbc="T T T"
Sm 0.0000 0.0000 0.0000
Al 1.2386 0.0000 3.0757
Cu -1.1920 0.0000 3.0757
Cu 1.2153 2.9887 0.0000
Cu 0.0577 3.8387 3.9787
Cu 0.0469 1.3458 4.7782
Cu 2.4194 3.8387 2.1726
Cu 2.4302 1.3458 1.3731
Cu 1.2153 -2.9887 0.0000
Cu 0.0469 -1.3458 4.7782
Cu 0.0577 -3.8387 3.9787
Cu 2.4302 -1.3458 1.3731
Cu 2.4194 -3.8387 2.1726
```

Output
DFT formation energy ... -0.13 eV per atom
Size of the total moment ... 0.0 μB/f.u.